# Tb2Pr2Y6Er PBE-GGA optimized geometry
data_Tb2Pr2Y6Er
_chemical_formula_sum 'Tb4 Pr4 Y12 Er2'
_cell_length_a 5.851
_cell_length_b 11.517
_cell_length_c 11.123
_cell_angle_alpha 90.00
_cell_angle_beta 97.26
_cell_angle_gamma 90.00
_space_group_name_H-M_alt 'C 1 2/m 1'
_space_group_IT_number 12
_space_group_name_Hall '-C 2y'
loop_
_atom_site_label
_atom_site_fract_x
_atom_site_fract_y
_atom_site_fract_z
_atom_site_occupancy
Tb1 0.000 0.182 0.000 1
Pr1 0.000 0.139 0.500 1
Y1 0.065 0.342 0.725 1
Y2 0.081 0.000 0.772 1
Er1 0.000 0.500 0.000 1
# formation energy = 158 meV/atom
# total magnetic moment = 0.000 μB/cell
# D(E_F) = 17.40 states/eV/f.u.



# CrIn PBE-GGA optimized geometry
data_CrIn
_chemical_formula_sum 'Cr8 In8'
_cell_length_a 11.186
_cell_length_b 11.186
_cell_length_c 3.017
_cell_angle_alpha 90.00
_cell_angle_beta 90.00
_cell_angle_gamma 90.00
_space_group_name_H-M_alt 'I 4/m'
_space_group_IT_number 87
_space_group_name_Hall '-I 4'
loop_
_atom_site_label
_atom_site_fract_x
_atom_site_fract_y
_atom_site_fract_z
_atom_site_occupancy
Cr1 0.192 0.718 0.000 1
In1 0.036 0.195 0.000 1
# formation energy = 704 meV/atom
# total magnetic moment = 0.000 μB/cell
# D(E_F) = 1.25 states/eV/f.u.